Model w:
# Cd2ReNi

A geometry-optimized Cd2ReNi structure (GGA-PBE, Alexandria via LeMat-Bulk).

Unit cell a=2.7629 b=2.7629 c=8.5403 alpha=90.00 beta=90.00 gamma=90.00
Element x y z (fractional)
Cd 0.0000 0.0000 0.4780
Cd 0.0000 0.0000 0.0220
Ni 0.5000 0.5000 0.2500
Re 0.5000 0.5000 0.7500

Values from the calculation:
Crystal system = tetragonal
Theoretical density = 11.96 g cm⁻³


Model x:
# Cd2ReNi

A geometry-optimized Cd2ReNi structure (GGA-PBE, Alexandria via LeMat-Bulk).

Unit cell a=5.1113 b=5.1113 c=5.1113 alpha=134.76 beta=134.76 gamma=65.91
Each line ends with the local moment (μB).
Element x y z (fractional)
Re 0.7500 0.2500 0.5000  0.67
Cd 0.5000 0.5000 0.0000  0.00
Cd 0.0000 0.0000 0.0000  0.00
Ni 0.2500 0.7500 0.5000  0.43

Values from the calculation:
Crystal system = tetragonal
Theoretical density = 11.76 g cm⁻³


What should be chosen as the least stable of them? Choose model x.


Model w:
# CdRe3Ni

A geometry-optimized CdRe3Ni structure (GGA-PBE, Alexandria via LeMat-Bulk).

Unit cell a=4.7604 b=4.7604 c=4.7604 alpha=90.00 beta=90.00 gamma=90.00
Element x y z (fractional)
Cd 0.0000 0.0000 0.0000
Ni 0.5000 0.5000 0.5000
Re 0.5000 0.0000 0.0000
Re 0.0000 0.0000 0.5000
Re 0.0000 0.5000 0.0000

Values from the calculation:
Crystal system = cubic
Theoretical density = 11.23 g cm⁻³


Model x:
# CdRe3Ni

A geometry-optimized CdRe3Ni structure (GGA-PBE, Alexandria via LeMat-Bulk).

Unit cell a=4.4720 b=4.4720 c=4.4720 alpha=90.00 beta=90.00 gamma=90.00
Element x y z (fractional)
Cd 0.5000 0.5000 0.5000
Re 0.5000 0.0000 0.0000
Re 0.0000 0.0000 0.5000
Re 0.0000 0.5000 0.0000
Ni 0.0000 0.0000 0.0000

Values from the calculation:
Crystal system = cubic
Theoretical density = 13.55 g cm⁻³


What should be chosen as the least stable of them? Choose model w.


Model w:
# CdNiRh

A geometry-optimized CdNiRh structure (GGA-PBE, Alexandria via LeMat-Bulk).

Unit cell a=4.1685 b=4.1685 c=4.1685 alpha=60.00 beta=60.00 gamma=60.00
Each line ends with the local moment (μB).
Element x y z (fractional)
Cd 0.5000 0.5000 0.5000  -0.02
Ni 0.7500 0.7500 0.7500  0.64
Rh 0.0000 0.0000 0.0000  0.53

Values from the calculation:
Crystal system = cubic
Theoretical density = 8.88 g cm⁻³


Model x:
# CdNiRh

A geometry-optimized CdNiRh structure (GGA-PBE, Alexandria via LeMat-Bulk).

Unit cell a=2.9935 b=2.9917 c=10.3694 alpha=90.02 beta=90.01 gamma=90.00
Each line ends with the local moment (μB).
Element x y z (fractional)
Ni 0.3725 0.7910 0.6960  0.76
Ni 0.8723 0.2912 0.8163  0.76
Rh 0.8723 0.2908 0.5585  0.54
Rh 0.3725 0.7915 0.9538  0.54
Cd 0.8727 0.2917 0.1372  -0.01
Cd 0.3721 0.7905 0.3751  -0.01

Values from the calculation:
Crystal system = tetragonal
Theoretical density = 9.80 g cm⁻³


What should be chosen as the least stable of them? Choose model w.